# CrHSe2

Crystalline CrHSe2 at its relaxed geometry (PBE-GGA, the Alexandria database).

Geometry as POSCAR:
```
CrHSe2
1.0
6.381 0.000 0.000
0.000 12.623 0.000
-0.006 0.000 3.920
Cr H Se
4 4 8
Cartesian
-0.001 0.724 0.980
-0.004 11.899 2.940
3.186 5.588 2.940
3.189 7.035 0.980
-0.001 5.314 0.980
-0.004 7.309 2.940
3.186 0.997 2.940
3.189 11.626 0.980
1.440 1.371 2.939
1.443 11.252 0.979
1.745 4.941 0.981
1.742 7.682 2.941
4.633 4.941 0.979
4.630 7.682 2.939
4.932 1.371 2.941
4.935 11.252 0.981
```

## Properties
VASP energy in eV/atom: -5.0510
Symmetry: C2/c

***

# SmTiIn2

Crystalline SmTiIn2 at its relaxed geometry (PBE-GGA, the Alexandria database).

Geometry as POSCAR:
```
SmTiIn2
1.0
4.577 0.000 0.000
0.000 4.577 0.000
0.000 0.000 4.563
Sm Ti In
1 1 2
Cartesian
0.000 0.000 0.000
2.289 2.289 0.000
0.000 2.289 2.281
2.289 0.000 2.281
```

## Properties
E_form in meV per atom: -211
VASP energy in eV/atom: -4.7332
Symmetry: P4/mmm

***

# Pm4Nd2Tm7

Crystalline Pm4Nd2Tm7 at its relaxed geometry (PBE-GGA, the Alexandria database).

Geometry as POSCAR:
```
Pm4Nd2Tm7
1.0
6.416 0.000 0.000
2.688 5.886 0.000
2.356 -0.910 11.286
Pm Nd Tm
4 2 7
Cartesian
2.001 1.967 1.424
3.936 4.599 0.363
7.524 0.376 10.923
9.459 3.009 9.862
6.053 4.218 5.434
5.408 0.757 5.853
2.522 2.488 5.643
3.701 5.439 3.651
4.470 -0.048 9.108
6.402 2.684 8.388
5.058 2.291 2.898
6.990 5.024 2.178
7.759 -0.464 7.635
```

## Properties
E_form in meV per atom: 146
VASP energy in eV/atom: -4.4566
Symmetry: P-1

***

# CsRb3Sr

Crystalline CsRb3Sr at its relaxed geometry (PBE-GGA, the Alexandria database).

Geometry as POSCAR:
```
CsRb3Sr
1.0
8.030 0.000 0.000
0.000 8.030 0.000
0.000 0.000 8.030
Cs Rb Sr
1 3 1
Cartesian
0.000 0.000 0.000
0.000 0.000 4.015
0.000 4.015 0.000
4.015 0.000 0.000
4.015 4.015 4.015
```

## Properties
E_form in meV per atom: 411
VASP energy in eV/atom: -0.6769
Symmetry: Pm-3m

***

# MnRu2Br

Crystalline MnRu2Br at its relaxed geometry (PBE-GGA, the Alexandria database).

Geometry as POSCAR:
```
MnRu2Br
1.0
5.431 0.000 0.000
0.000 8.890 0.000
-1.480 0.000 2.583
Mn Ru Br
2 4 2
Cartesian
0.000 0.000 0.000
2.716 4.445 0.000
0.618 2.222 1.292
0.618 6.667 1.292
3.333 2.222 1.292
3.333 6.667 1.292
0.000 4.445 0.000
2.716 0.000 0.000
```

## Properties
Formation energy (no corrections) in eV/f.u.: 3.15
VASP energy in eV/atom: -6.5608
Symmetry: C2/m

***

# Ca2HPd

Crystalline Ca2HPd at its relaxed geometry (PBE-GGA, the Alexandria database).

Geometry as POSCAR:
```
Ca2HPd
1.0
6.942 0.000 0.000
0.000 6.942 0.000
0.000 0.000 6.942
Ca H Pd
8 4 4
Cartesian
1.736 1.736 1.736
1.736 1.736 5.207
1.736 5.207 1.736
1.736 5.207 5.207
5.207 1.736 1.736
5.207 1.736 5.207
5.207 5.207 1.736
5.207 5.207 5.207
0.000 0.000 0.000
0.000 3.471 3.471
3.471 0.000 3.471
3.471 3.471 0.000
0.000 0.000 3.471
0.000 3.471 0.000
3.471 0.000 0.000
3.471 3.471 3.471
```

## Properties
VASP energy in eV/atom: -3.4241
Symmetry: Fm-3m

***

# TiTl2Os

Crystalline TiTl2Os at its relaxed geometry (PBE-GGA, the Alexandria database).

Geometry as POSCAR:
```
TiTl2Os
1.0
6.690 0.000 0.000
0.000 6.690 0.000
0.000 0.000 6.690
Ti Tl Os
4 8 4
Cartesian
0.000 0.000 0.000
0.000 3.345 3.345
3.345 0.000 3.345
3.345 3.345 0.000
1.672 1.672 1.672
1.672 1.672 5.017
1.672 5.017 1.672
1.672 5.017 5.017
5.017 1.672 1.672
5.017 1.672 5.017
5.017 5.017 1.672
5.017 5.017 5.017
0.000 0.000 3.345
0.000 3.345 0.000
3.345 0.000 0.000
3.345 3.345 3.345
```

## Properties
E_form in meV per atom: 586
VASP energy in eV/atom: -5.3779
Symmetry: Fm-3m

***

# SmCd4Rh

Crystalline SmCd4Rh at its relaxed geometry (PBE-GGA, the Alexandria database).

Geometry as POSCAR:
```
SmCd4Rh
1.0
6.810 -2.917 0.000
6.810 2.917 0.000
-2.414 0.000 6.780
Sm Cd Rh
2 8 2
Cartesian
1.706 0.000 2.439
9.500 0.000 4.341
4.819 1.455 2.143
6.810 1.453 0.000
1.653 0.000 6.198
6.387 1.455 4.637
4.819 -1.455 2.143
9.553 0.000 0.582
6.810 -1.453 0.000
6.387 -1.455 4.637
3.783 0.000 4.340
7.423 0.000 2.440
```

## Properties
E_form in meV per atom: -289
VASP energy in eV/atom: -2.9110
Symmetry: C2/m

***

Q: What is the formula in the sixth record?
A: Ca2HPd